(1)
Entry from Alexandria via LeMat-Bulk: a geometry-optimized CaMnSe structure (PBE-GGA).

The structure belongs to space group Cm (No. 8); the cell edges are 11.025, 4.089 and 6.079 Å and the angles 90.00°, 105.96° and 90.00°. The asymmetric unit holds Ca at (0.000, 0.000, 0.000), Ca at (0.133, 0.500, 0.544), Mn at (0.335, 0.000, 0.209), Mn at (0.406, 0.500, 0.446), Se at (0.209, 0.500, 0.081) and Se at (0.365, 0.000, 0.651).

The total energy is -5.498 eV per atom.

***

(2)
Entry from Alexandria via LeMat-Bulk: a geometry-optimized Ba3NaNb2O9 structure (PBE-GGA).

The structure belongs to space group P-3m1 (No. 164); the cell edges are 5.9791, 5.9791 and 7.4152 Å and the angles 90.00°, 90.00° and 120.00°. The asymmetric unit holds Ba at (0.0000, 0.0000, 0.0000), Ba at (0.3333, 0.6667, 0.6640), Na at (0.0000, 0.0000, 0.5000), Nb at (0.3333, 0.6667, 0.1739), O at (0.0000, 0.5000, 0.0000) and O at (0.1765, 0.3530, 0.3123).

The total energy is -7.374 eV per atom.

***

(3)
Entry from Alexandria via LeMat-Bulk: a geometry-optimized CdAg2Sb structure (PBE-GGA).

The structure belongs to space group Pm (No. 6); the cell edges are 3.434, 4.645 and 5.563 Å and the angles 90.00°, 101.50° and 90.00°. The asymmetric unit holds Cd at (0.000, 0.000, 0.000), Ag at (0.326, 0.000, 0.545), Ag at (0.456, 0.500, 0.860) and Sb at (0.822, 0.500, 0.379).

The total energy is -2.627 eV per atom.

***

(4)
Entry from Alexandria via LeMat-Bulk: a geometry-optimized CePr2Ni structure (PBE-GGA).

The structure belongs to space group R3m (No. 160, hexagonal axes); the cell edges are 3.8290, 3.8290 and 28.4412 Å and the angles 90.00°, 90.00° and 120.00°. The asymmetric unit holds Ce at (0.0000, 0.0000, 0.0000), Pr at (0.0000, 0.0000, 0.2280), Pr at (0.0000, 0.0000, 0.4390) and Ni at (0.0000, 0.0000, 0.8339).

The total energy is -5.263 eV per atom. For the formation energy, the calculation gives 0.06 eV per atom.

***

(5)
Entry from Alexandria via LeMat-Bulk: a geometry-optimized Cs3Np2ScO9 structure (PBE-GGA).

The structure belongs to space group P-3m1 (No. 164); the cell edges are 6.1226, 6.1226 and 7.5045 Å and the angles 90.00°, 90.00° and 120.00°. The asymmetric unit holds Cs at (0.0000, 0.0000, 0.0000), Cs at (0.3333, 0.6667, 0.6637), Np at (0.3333, 0.6667, 0.1725), Sc at (0.0000, 0.0000, 0.5000), O at (0.0000, 0.5000, 0.0000) and O at (0.1727, 0.3455, 0.3271).

The total energy is -7.840 eV per atom.

***

(6)
Entry from Alexandria via LeMat-Bulk: a geometry-optimized TiBeI2O structure (PBE-GGA).

The structure belongs to space group P4/mmm (No. 123); the cell edges are 5.625, 5.625 and 3.740 Å and the angles 90.00°, 90.00° and 90.00°. The asymmetric unit holds Ti at (0.000, 0.000, 0.000), Be at (0.500, 0.500, 0.500), I at (0.000, 0.500, 0.000) and O at (0.000, 0.000, 0.500).

The total energy is -4.419 eV per atom.

***

(7)
Entry from Alexandria via LeMat-Bulk: a geometry-optimized CaBPPt6 structure (PBE-GGA).

The structure belongs to space group Imma (No. 74); the cell edges are 7.492, 7.939 and 11.043 Å and the angles 90.00°, 90.00° and 90.00°. The asymmetric unit holds Ca at (0.000, 0.250, 0.166), B at (0.000, 0.000, 0.500), P at (0.250, 0.250, 0.750), Pt at (0.000, 0.250, 0.431), Pt at (0.000, 0.250, 0.871) and Pt at (0.216, 0.025, 0.623).

The total energy is -6.049 eV per atom. For the formation energy, the calculation gives -0.46 eV per atom.

***

(8)
Entry from Alexandria via LeMat-Bulk: a geometry-optimized MnTeRu2 structure (PBE-GGA).

The structure belongs to space group R-3m (No. 166, hexagonal axes); the cell edges are 3.0511, 3.0511 and 24.2905 Å and the angles 90.00°, 90.00° and 120.00°. The asymmetric unit holds Mn at (0.0000, 0.0000, 0.0000), Te at (0.0000, 0.0000, 0.5000) and Ru at (0.0000, 0.0000, 0.2535).

The total energy is -7.266 eV per atom.

***

(9)
Entry from Alexandria via LeMat-Bulk: a geometry-optimized Er6OsPt3 structure (PBE-GGA).

The structure belongs to space group Pnnm (No. 58); the cell edges are 8.185, 11.892 and 4.815 Å and the angles 90.00°, 90.00° and 90.00°. The asymmetric unit holds Er at (0.000, 0.247, 0.000), Er at (0.153, 0.410, 0.500), Er at (0.175, 0.076, 0.500), Os at (0.000, 0.500, 0.000), Pt at (0.000, 0.000, 0.000) and Pt at (0.167, 0.829, 0.500).

The total energy is -6.455 eV per atom. For the formation energy, the calculation gives -0.78 eV per atom.

***

(10)
Entry from Alexandria via LeMat-Bulk: a geometry-optimized NaOs3Au structure (PBE-GGA).

The structure belongs to space group Pm-3m (No. 221); the cell edges are 4.965, 4.965 and 4.965 Å and the angles 90.00°, 90.00° and 90.00°. The asymmetric unit holds Na at (0.000, 0.000, 0.000), Os at (0.000, 0.500, 0.500) and Au at (0.500, 0.500, 0.500).

The total energy is -4.938 eV per atom. For the formation energy, the calculation gives 2.72 eV per atom.

***

(11)
Entry from Alexandria via LeMat-Bulk: a geometry-optimized K2ReAg structure (PBE-GGA).

The structure belongs to space group P4mm (No. 99); the cell edges are 3.519, 3.519 and 10.356 Å and the angles 90.00°, 90.00° and 90.00°. The asymmetric unit holds K at (0.000, 0.000, 0.000), K at (0.500, 0.500, 0.418), Re at (0.000, 0.000, 0.663) and Ag at (0.500, 0.500, 0.763).

The total energy is -3.234 eV per atom. For the formation energy, the calculation gives 1.14 eV per atom.

***

(12)
Entry from Alexandria via LeMat-Bulk: a geometry-optimized Ba2InSbPt structure (PBE-GGA).

The structure belongs to space group P4/mmm (No. 123); the cell edges are 6.618, 6.618 and 4.938 Å and the angles 90.00°, 90.00° and 90.00°. The asymmetric unit holds Ba at (0.000, 0.500, 0.000), In at (0.000, 0.000, 0.500), Sb at (0.500, 0.500, 0.000) and Pt at (0.500, 0.500, 0.500).

The total energy is -3.587 eV per atom.

***

(13)
Entry from Alexandria via LeMat-Bulk: a geometry-optimized YAlHg2 structure (PBE-GGA).

The structure belongs to space group Cmcm (No. 63); the cell edges are 4.455, 17.343 and 9.545 Å and the angles 90.00°, 90.00° and 90.00°. The asymmetric unit holds Y at (0.000, 0.000, 0.000), Y at (0.000, 0.197, 0.250), Al at (0.000, 0.359, 0.526), Hg at (0.000, 0.197, 0.593), Hg at (0.000, 0.399, 0.250) and Hg at (0.000, 0.443, 0.750).

The total energy is -3.014 eV per atom. For the formation energy, the calculation gives -0.31 eV per atom.

***

(14)
Entry from Alexandria via LeMat-Bulk: a geometry-optimized MgOsF3 structure (PBE-GGA).

The structure belongs to space group Pm-3m (No. 221); the cell edges are 4.029, 4.029 and 4.029 Å and the angles 90.00°, 90.00° and 90.00°. The asymmetric unit holds Mg at (0.000, 0.000, 0.000), Os at (0.500, 0.500, 0.500) and F at (0.000, 0.000, 0.500).

The total energy is -4.855 eV per atom.

***

(15)
Entry from Alexandria via LeMat-Bulk: a geometry-optimized TlZnN2 structure (PBE-GGA).

The structure belongs to space group I-42d (No. 122); the cell edges are 4.947, 4.947 and 9.783 Å and the angles 90.00°, 90.00° and 90.00°. The asymmetric unit holds Tl at (0.000, 0.000, 0.000), Zn at (0.000, 0.000, 0.500) and N at (0.207, 0.250, 0.625).

The total energy is -4.288 eV per atom.

***

(16)
Entry from Alexandria via LeMat-Bulk: a geometry-optimized TbAg2SbTe4 structure (PBE-GGA).

The structure belongs to space group P2/m (No. 10); the cell edges are 7.394, 4.403 and 7.640 Å and the angles 90.00°, 110.04° and 90.00°. The asymmetric unit holds Tb at (0.000, 0.000, 0.000), Ag at (0.500, 0.000, 0.500), Ag at (0.500, 0.500, 0.000), Sb at (0.000, 0.500, 0.500), Te at (0.256, 0.500, 0.253) and Te at (0.260, 0.000, 0.751).

The total energy is -3.830 eV per atom.

***

(17)
Entry from Alexandria via LeMat-Bulk: a geometry-optimized ZrTiAsBr2 structure (PBE-GGA).

The structure belongs to space group P4/mmm (No. 123); the cell edges are 4.922, 4.922 and 5.170 Å and the angles 90.00°, 90.00° and 90.00°. The asymmetric unit holds Zr at (0.000, 0.000, 0.000), Ti at (0.500, 0.500, 0.500), As at (0.500, 0.500, 0.000) and Br at (0.000, 0.500, 0.500).

The total energy is -4.868 eV per atom.

***

(18)
Entry from Alexandria via LeMat-Bulk: a geometry-optimized Li2TiCuSe4 structure (PBE-GGA).

The structure belongs to space group P2/m (No. 10); the cell edges are 6.769, 3.646 and 6.777 Å and the angles 90.00°, 112.50° and 90.00°. The asymmetric unit holds Li at (0.000, 0.000, 0.000), Li at (0.000, 0.500, 0.500), Ti at (0.500, 0.000, 0.500), Cu at (0.500, 0.500, 0.000), Se at (0.243, 0.500, 0.280) and Se at (0.301, 0.000, 0.766).

The total energy is -4.576 eV per atom.

***

(19)
Entry from Alexandria via LeMat-Bulk: a geometry-optimized NdSm5Mg6 structure (PBE-GGA).

The structure belongs to space group Cmmm (No. 65); the cell edges are 5.450, 16.353 and 7.714 Å and the angles 90.00°, 90.00° and 90.00°. The asymmetric unit holds Nd at (0.000, 0.000, 0.000), Sm at (0.000, 0.000, 0.500), Sm at (0.000, 0.333, 0.000), Sm at (0.000, 0.334, 0.500), Mg at (0.000, 0.167, 0.252) and Mg at (0.000, 0.500, 0.251).

The total energy is -3.265 eV per atom. For the formation energy, the calculation gives -0.10 eV per atom.

***

(20)
Entry from Alexandria via LeMat-Bulk: a geometry-optimized Ac3La4NdSe8 structure (PBE-GGA).

The structure belongs to space group R-3m (No. 166, hexagonal axes); the cell edges are 8.7255, 8.7255 and 21.3817 Å and the angles 90.00°, 90.00° and 120.00°. The asymmetric unit holds Ac at (0.0000, 0.5000, 0.0000), La at (0.0000, 0.0000, 0.5000), La at (0.0000, 0.5000, 0.5000), Nd at (0.0000, 0.0000, 0.0000), Se at (0.0000, 0.0000, 0.2466) and Se at (0.0068, 0.5034, 0.7516).

The total energy is -5.966 eV per atom.